Entry 1:
NdCd4Ga: relaxed, GGA-PBE.

Unit cell a=5.9293 b=5.9293 c=5.9293 alpha=60.00 beta=60.00 gamma=60.00
Last column: nearest neighbours and their distance in Å.
Sites, in units of the cell vectors:
Nd 0.0000 0.0000 0.0000  12 Cd 3.48, 4 Ga 3.63
Cd 0.3749 0.3749 0.3749  6 Cd 2.96-2.97
Cd 0.3749 0.3749 0.8753  6 Cd 2.96-2.97
Cd 0.3749 0.8753 0.3749  6 Cd 2.96-2.97
Cd 0.8753 0.3749 0.3749  6 Cd 2.96-2.97
Ga 0.7500 0.7500 0.7500  12 Cd 3.48, 4 Nd 3.63

Raw total energy = -12.00 eV per cell
Energy of formation from the pure elements = -0.092 eV/atom
Total magnetic moment = 0.00 Bohr magnetons per cell
Theoretical density = 7.5 g/cm³
Space-group type = F-43m

***

Entry 2:
ZnCrPdRu: relaxed, GGA-PBE.

Unit cell a=4.2908 b=4.2908 c=4.2908 alpha=60.00 beta=60.00 gamma=60.00
Last column: nearest neighbours and their distance in Å.
Sites, in units of the cell vectors:
Zn 0.0000 0.0000 0.0000  4 Pd 2.63, 4 Ru 2.63
Cr 0.5000 0.5000 0.5000  4 Pd 2.63, 4 Ru 2.63
Pd 0.7500 0.7500 0.7500  4 Cr 2.63, 4 Zn 2.63
Ru 0.2500 0.2500 0.2500  4 Cr 2.63, 4 Zn 2.63

Raw total energy = -25.63 eV per cell
Energy of formation from the pure elements = -0.067 eV/atom
Total magnetic moment = 2.03 Bohr magnetons per cell
Theoretical density = 9.7 g/cm³
Space-group type = F-43m